Record 1
Entry from the Alexandria database: a relaxed KYH3 crystal (PBE).

**Distance to the lowest polymorph of the same formula**: 0.0000 eV per atom
**M_tot**: 0.0 μB/f.u.
**E**: -19.1 eV for the cell shown
**D(E_F)**: 0.33 states/eV/atom

abc: 4.365 4.365 4.365
angles: 90.00 90.00 90.00
Fractional positions:
H: 0.000 0.000 0.500
H: 0.500 0.000 0.000
H: 0.000 0.500 0.000
K: 0.500 0.500 0.500
Y: 0.000 0.000 0.000

=====

Record 2
Entry from the Alexandria database: a relaxed CeTm2Th4 crystal (PBE).

**Calculated formation energy**: 74 kJ/mol of atoms
**Distance to the lowest polymorph of the same formula**: 0.6834 eV per atom
**M_tot**: 0.0 μB/f.u.
**E**: -39.2 eV for the cell shown
**D(E_F)**: 2.02 states/eV/atom

abc: 5.569 5.569 9.101
angles: 107.81 107.81 90.00
Fractional positions:
Ce: 0.000 0.000 0.000
Th: 0.500 0.000 0.000
Th: 0.176 0.176 0.353
Th: 0.000 0.500 0.000
Th: 0.824 0.824 0.647
Tm: 0.382 0.382 0.764
Tm: 0.618 0.618 0.236

=====

Record 3
Entry from the Alexandria database: a relaxed ZnPd12Pb6 crystal (PBE).

**Calculated formation energy**: -21 kJ/mol of atoms
**M_tot**: 0.0 μB/f.u.
**E**: -89.9 eV for the cell shown
**D(E_F)**: 0.50 states/eV/atom

abc: 7.573 7.573 7.573
angles: 106.65 106.65 106.65
Fractional positions:
Zn: 0.000 0.000 0.000
Pb: 0.217 0.095 0.476
Pb: 0.905 0.524 0.783
Pb: 0.783 0.905 0.524
Pb: 0.095 0.476 0.217
Pb: 0.476 0.217 0.095
Pb: 0.524 0.783 0.905
Pd: 0.398 0.822 0.525
Pd: 0.261 0.849 0.125
Pd: 0.475 0.602 0.178
Pd: 0.739 0.151 0.875
Pd: 0.178 0.475 0.602
Pd: 0.125 0.261 0.849
Pd: 0.875 0.739 0.151
Pd: 0.849 0.125 0.261
Pd: 0.525 0.398 0.822
Pd: 0.151 0.875 0.739
Pd: 0.602 0.178 0.475
Pd: 0.822 0.525 0.398

=====

Record 4
Entry from the Alexandria database: a relaxed Tb3Mg2Tc crystal (PBE).

**Calculated formation energy**: -7 kJ/mol of atoms
**M_tot**: 0.0 μB/f.u.
**E**: -55.7 eV for the cell shown
**D(E_F)**: 1.00 states/eV/atom

abc: 5.062 7.922 7.993
angles: 90.00 90.00 71.37
Fractional positions:
Tb: 0.825 0.351 0.791
Tb: 0.175 0.649 0.209
Tb: 0.825 0.351 0.209
Tb: 0.175 0.649 0.791
Tb: 0.500 0.000 0.218
Tb: 0.500 0.000 0.782
Mg: 0.000 0.000 0.000
Mg: 0.000 0.000 0.500
Mg: 0.335 0.330 0.500
Mg: 0.665 0.670 0.500
Tc: 0.340 0.320 0.000
Tc: 0.660 0.680 0.000

=====

Record 5
Entry from the Alexandria database: a relaxed CoSbPbI2 crystal (PBE).

**Formation energy from raw total energies**: 0.25 eV/atom
**Distance to the lowest polymorph of the same formula**: 0.0000 eV per atom
**M_tot**: 0.0 μB/f.u.
**E**: -16.8 eV for the cell shown
**D(E_F)**: 0.92 states/eV/atom

abc: 5.418 5.418 4.893
angles: 90.00 90.00 90.00
Fractional positions:
Pb: 0.500 0.500 0.500
Co: 0.000 0.000 0.000
I: 0.000 0.500 0.000
I: 0.500 0.000 0.000
Sb: 0.000 0.000 0.500

=====

Record 6
Entry from the Alexandria database: a relaxed Ac8SnTe4P3 crystal (PBE).

**Formation energy from raw total energies**: -1.45 eV/atom
**M_tot**: 0.0 μB/f.u.
**E**: -88.8 eV for the cell shown
**D(E_F)**: 0.30 states/eV/atom

abc: 9.200 9.391 9.200
angles: 119.33 120.00 90.00
Fractional positions:
Te: 0.000 0.000 0.000
Te: 0.500 0.000 0.000
Te: 0.500 0.000 0.500
Te: 0.000 0.000 0.500
Ac: 0.731 0.724 0.978
Ac: 0.261 0.284 0.522
Ac: 0.753 0.276 0.507
Ac: 0.739 0.716 0.478
Ac: 0.247 0.724 0.493
Ac: 0.269 0.276 0.022
Ac: 0.753 0.276 0.022
Ac: 0.247 0.724 0.978
P: 0.500 0.500 0.000
P: 0.500 0.500 0.500
P: 0.000 0.500 0.500
Sn: 0.000 0.500 0.000

=====

Record 7
Entry from the Alexandria database: a relaxed LaPmThCd crystal (PBE).

**Calculated formation energy**: 5 kJ/mol of atoms
**Distance to the lowest polymorph of the same formula**: 0.2185 eV per atom
**M_tot**: 0.0 μB/f.u.
**E**: -17.8 eV for the cell shown
**D(E_F)**: 1.90 states/eV/atom

abc: 5.610 5.610 5.610
angles: 60.00 60.00 60.00
Fractional positions:
Th: 0.250 0.250 0.250
Pm: 0.500 0.500 0.500
La: 0.750 0.750 0.750
Cd: 0.000 0.000 0.000

=====

Record 8
Entry from the Alexandria database: a relaxed SrYBeSi2 crystal (PBE).

**Formation energy from raw total energies**: 1.29 eV/atom
**M_tot**: 0.4 μB/f.u.
**E**: -16.3 eV for the cell shown
**D(E_F)**: 0.75 states/eV/atom

abc: 5.302 6.358 5.302
angles: 90.00 90.00 90.00
Last column: magnetic moment on the atom in μB.
Fractional positions:
Sr: 0.000 0.500 0.000  0.06
Be: 0.500 0.500 0.500  0.01
Y: 0.000 0.000 0.000  0.15
Si: 0.500 0.000 0.000  0.01
Si: 0.000 0.000 0.500  0.01

=====

Record 9
Entry from the Alexandria database: a relaxed InBiBr2O crystal (PBE).

**Formation energy from raw total energies**: 0.52 eV/atom
**M_tot**: 0.0 μB/f.u.
**E**: -12.3 eV for the cell shown
**D(E_F)**: 3.88 states/eV/atom

abc: 5.195 6.280 5.195
angles: 90.00 90.00 90.00
Fractional positions:
O: 0.500 0.500 0.500
Br: 0.500 0.000 0.000
Br: 0.000 0.000 0.500
Bi: 0.000 0.500 0.000
In: 0.000 0.000 0.000

=====

Record 10
Entry from the Alexandria database: a relaxed CaPm2Au crystal (PBE).

**Calculated formation energy**: -36 kJ/mol of atoms
**Distance to the lowest polymorph of the same formula**: 0.0000 eV per atom
**M_tot**: 0.0 μB/f.u.
**E**: -32.5 eV for the cell shown
**D(E_F)**: 1.25 states/eV/atom

abc: 4.757 6.433 8.723
angles: 90.00 90.00 111.67
Fractional positions:
Pm: 0.355 0.710 0.545
Pm: 0.355 0.710 0.955
Pm: 0.645 0.290 0.045
Pm: 0.645 0.290 0.455
Au: 0.778 0.555 0.750
Au: 0.222 0.445 0.250
Ca: 0.945 0.891 0.250
Ca: 0.055 0.109 0.750

=====

Record 11
Entry from the Alexandria database: a relaxed TbSc4Co crystal (PBE).

**Calculated formation energy**: -2 kJ/mol of atoms
**M_tot**: 0.0 μB/f.u.
**E**: -74.3 eV for the cell shown
**D(E_F)**: 1.59 states/eV/atom

abc: 6.041 5.600 9.987
angles: 116.80 107.65 89.99
Fractional positions:
Co: 0.000 0.500 0.500
Co: 0.500 0.000 0.500
Sc: 0.688 0.451 0.619
Sc: 0.312 0.549 0.381
Sc: 0.475 0.939 0.223
Sc: 0.070 0.049 0.381
Sc: 0.748 0.439 0.223
Sc: 0.252 0.561 0.777
Sc: 0.930 0.951 0.619
Sc: 0.525 0.061 0.777
Tb: 0.828 0.750 0.000
Tb: 0.172 0.250 0.000

=====

Record 12
Entry from the Alexandria database: a relaxed As2IrPbBr crystal (PBE).

**Formation energy from raw total energies**: 0.29 eV/atom
**Distance to the lowest polymorph of the same formula**: 0.0000 eV per atom
**M_tot**: 0.0 μB/f.u.
**E**: -22.1 eV for the cell shown
**D(E_F)**: 0.70 states/eV/atom

abc: 4.782 4.782 5.621
angles: 90.00 90.00 90.00
Fractional positions:
As: 0.000 0.500 0.000
As: 0.500 0.000 0.000
Br: 0.000 0.000 0.500
Ir: 0.000 0.000 0.000
Pb: 0.500 0.500 0.500